[1]
Cs2Rb3IO6: optimized geometry, PBE-GGA.

Lattice parameters (Å, degrees): 7.126 12.339 6.633 90.00 112.00 90.00
Space group C2/m (No. 12)
Asymmetric unit:
Cs 0.000 0.168 0.000 x4
Rb 0.000 0.000 0.500 x2
Rb 0.000 0.347 0.500 x4
I 0.000 0.500 0.000 x2
O 0.166 0.500 0.825 x4
O 0.172 0.389 0.187 x8

=====

[2]
CsReIO2: optimized geometry, PBE-GGA.

Lattice parameters (Å, degrees): 4.352 4.352 7.515 90.00 90.00 90.00
Space group P4/mmm (No. 123)
Asymmetric unit:
Cs 0.000 0.000 0.000 x1
Re 0.500 0.500 0.500 x1
I 0.000 0.000 0.500 x1
O 0.000 0.500 0.000 x2

Summary:
DOS at the Fermi energy = 3.2 states/eV per cell

=====

[3]
CsReIO2: optimized geometry, PBE-GGA.

Lattice parameters (Å, degrees): 4.311 4.311 5.608 90.00 90.00 90.00
Space group P4/mmm (No. 123)
Asymmetric unit:
Cs 0.000 0.000 0.000 x1
Re 0.500 0.500 0.500 x1
I 0.500 0.500 0.000 x1
O 0.000 0.500 0.500 x2

Summary:
DOS at the Fermi energy = 1.3 states/eV per cell

=====

[4]
CsRhI2O8: optimized geometry, PBE-GGA.

Lattice parameters (Å, degrees): 5.6819 5.6819 8.1894 90.00 90.00 120.00
Space group P-3 (No. 147)
Asymmetric unit:
Cs 0.0000 0.0000 0.0000 x1
Rh 0.0000 0.0000 0.5000 x1
I 0.3333 0.6667 0.6371 x2
O 0.0062 0.2906 0.6377 x6
O 0.3333 0.6667 0.8558 x2

Summary:
DOS at the Fermi energy = 6.5 states/eV per cell

=====

[5]
CsRhI2O: optimized geometry, PBE-GGA.

Lattice parameters (Å, degrees): 6.889 6.889 4.362 90.00 90.00 90.00
Space group P4/mmm (No. 123)
Asymmetric unit:
Cs 0.000 0.000 0.000 x1
Rh 0.500 0.500 0.500 x1
I 0.000 0.500 0.000 x2
O 0.000 0.000 0.500 x1

Summary:
DOS at the Fermi energy = 9.8 states/eV per cell

=====

[6]
CsRhI2O: optimized geometry, PBE-GGA.

Lattice parameters (Å, degrees): 6.162 6.162 3.827 90.00 90.00 90.00
Space group P4/mmm (No. 123)
Asymmetric unit:
Cs 0.000 0.000 0.000 x1
Rh 0.500 0.500 0.500 x1
I 0.000 0.500 0.500 x2
O 0.500 0.500 0.000 x1

Summary:
DOS at the Fermi energy = 4.1 states/eV per cell

=====

[7]
CsRuIO2: optimized geometry, PBE-GGA.

Lattice parameters (Å, degrees): 4.272 4.272 7.713 90.00 90.00 90.00
Space group P4/mmm (No. 123)
Asymmetric unit:
Cs 0.000 0.000 0.000 x1
Ru 0.500 0.500 0.500 x1
I 0.000 0.000 0.500 x1
O 0.000 0.500 0.000 x2

Summary:
DOS at the Fermi energy = 6.8 states/eV per cell

=====

[8]
CsRuIO2: optimized geometry, PBE-GGA.

Lattice parameters (Å, degrees): 4.455 4.455 5.418 90.00 90.00 90.00
Space group P4/mmm (No. 123)
Asymmetric unit:
Cs 0.000 0.000 0.000 x1
Ru 0.500 0.500 0.500 x1
I 0.500 0.500 0.000 x1
O 0.000 0.500 0.500 x2

Summary:
DOS at the Fermi energy = 4.1 states/eV per cell

=====

[9]
CsSIO2: optimized geometry, PBE-GGA.

Lattice parameters (Å, degrees): 4.248 4.248 8.670 90.00 90.00 90.00
Space group P4/mmm (No. 123)
Asymmetric unit:
Cs 0.000 0.000 0.000 x1
S 0.500 0.500 0.500 x1
I 0.000 0.000 0.500 x1
O 0.000 0.500 0.000 x2

Summary:
DOS at the Fermi energy = 5.6 states/eV per cell

=====

[10]
CsSI2O: optimized geometry, PBE-GGA.

Lattice parameters (Å, degrees): 7.413 7.413 4.384 90.00 90.00 90.00
Space group P4/mmm (No. 123)
Asymmetric unit:
Cs 0.000 0.000 0.000 x1
S 0.500 0.500 0.500 x1
I 0.000 0.500 0.000 x2
O 0.000 0.000 0.500 x1

Summary:
DOS at the Fermi energy = 8.2 states/eV per cell

=====

[11]
CsSI2O: optimized geometry, PBE-GGA.

Lattice parameters (Å, degrees): 6.771 6.771 3.578 90.00 90.00 90.00
Space group P4/mmm (No. 123)
Asymmetric unit:
Cs 0.000 0.000 0.000 x1
S 0.500 0.500 0.500 x1
I 0.000 0.500 0.500 x2
O 0.500 0.500 0.000 x1

Summary:
DOS at the Fermi energy = 5.3 states/eV per cell

=====

[12]
CsSIO2: optimized geometry, PBE-GGA.

Lattice parameters (Å, degrees): 4.596 4.596 5.226 90.00 90.00 90.00
Space group P4/mmm (No. 123)
Asymmetric unit:
Cs 0.000 0.000 0.000 x1
S 0.500 0.500 0.500 x1
I 0.500 0.500 0.000 x1
O 0.000 0.500 0.500 x2

Summary:
DOS at the Fermi energy = 2.2 states/eV per cell

=====

no.,ΔE_f (raw) (eV per atom)
1,-1.129
2,1.405
3,-0.299
4,-0.526
5,0.914
6,-0.594
7,1.048
8,-0.135
9,0.679
10,0.699
11,-0.371
12,0.234